Record 1
Here is crystalline HoCuAs at its relaxed geometry from Alexandria via LeMat-Bulk. Energies are from PBE.

Properties
* total moment: 0.000 Bohr magnetons per cell
* space-group type: P-6m2 (187)
* crystal system: hexagonal
* energy of formation: -84 kJ per mole of atoms

POSCAR file:
```
HoCuAs
1.0
-2.473 2.388 1.918
-3.099 -2.505 -0.877
2.146 -0.532 3.429
As Ho Cu
1 1 1
direct
0.167 0.000 0.000 As
0.667 0.333 0.667 Ho
0.167 0.667 0.333 Cu
```

***

Record 2
Here is crystalline SrCu2SeN at its relaxed geometry from Alexandria via LeMat-Bulk. Energies are from PBE.

Properties
* total moment: 0.000 Bohr magnetons per cell
* ΔE_f (raw): -256 meV per atom
* space-group type: P4/mmm (123)
* crystal system: tetragonal

POSCAR file:
```
SrCu2SeN
1.0
4.052 0.000 0.000
0.000 5.356 0.000
0.000 0.000 4.052
Sr Cu Se N
1 2 1 1
direct
0.000 0.500 0.000 Sr
0.000 0.000 0.500 Cu
0.500 0.000 0.000 Cu
0.500 0.500 0.500 Se
0.000 0.000 0.000 N
```

***

Record 3
Here is crystalline K3Th3ZnSe8 at its relaxed geometry from Alexandria via LeMat-Bulk. Energies are from PBE.

Properties
* total moment: 0.000 Bohr magnetons per cell
* ΔE_f (raw): -1424 meV per atom
* space-group type: C2/m (12)
* crystal system: monoclinic

POSCAR file:
```
K3Th3ZnSe8
1.0
8.534 0.000 0.000
-4.267 7.383 -0.027
0.000 -4.892 7.804
K Th Zn Se
3 3 1 8
direct
0.000 0.000 0.000 K
0.000 0.500 0.000 K
0.500 0.500 0.000 K
0.500 0.000 0.500 Th
0.500 0.500 0.500 Th
0.000 0.500 0.500 Th
0.000 0.000 0.500 Zn
0.261 0.522 0.283 Se
0.739 0.478 0.717 Se
0.773 0.546 0.306 Se
0.227 0.454 0.694 Se
0.772 0.033 0.305 Se
0.228 0.967 0.695 Se
0.262 0.033 0.305 Se
0.738 0.967 0.695 Se
```

***

Record 4
Here is crystalline Pm4NdEr3S8 at its relaxed geometry from Alexandria via LeMat-Bulk. Energies are from PBE.

Properties
* total moment: 0.000 Bohr magnetons per cell
* ΔE_f (raw): -1998 meV per atom
* space-group type: R-3m (166)
* crystal system: trigonal

POSCAR file:
```
Pm4NdEr3S8
1.0
-2.233 7.598 0.289
-3.619 -1.330 6.995
7.656 -1.849 -0.880
Pm Nd Er S
4 1 3 8
direct
0.500 0.000 0.000 Pm
0.500 0.000 0.500 Pm
0.000 0.000 0.000 Pm
0.000 0.000 0.500 Pm
0.000 0.500 0.000 Nd
0.500 0.500 0.000 Er
0.500 0.500 0.500 Er
0.000 0.500 0.500 Er
0.251 0.739 0.988 S
0.251 0.739 0.502 S
0.256 0.267 0.511 S
0.737 0.739 0.988 S
0.263 0.261 0.012 S
0.744 0.733 0.489 S
0.749 0.261 0.498 S
0.749 0.261 0.012 S
```

***

Record 5
Here is crystalline Mn2TlTc at its relaxed geometry from Alexandria via LeMat-Bulk. Energies are from PBE.

Properties
* total moment: 4.899 Bohr magnetons per cell
* space-group type: Imm2 (44)
* crystal system: orthorhombic
* energy of formation: 49 kJ per mole of atoms

POSCAR file:
```
Mn2TlTc
1.0
-3.241 3.198 -2.618
-3.794 -2.225 -2.870
2.058 0.555 4.800
Mn Tc Tl
2 1 1
direct
0.984 0.984 0.000 Mn
0.745 0.245 0.500 Mn
0.521 0.521 0.000 Tc
0.249 0.749 0.500 Tl
```

***

Record 6
Here is crystalline LiTl2InI6 at its relaxed geometry from Alexandria via LeMat-Bulk. Energies are from PBE.

Properties
* total moment: 0.000 Bohr magnetons per cell
* ΔE_f (raw): -663 meV per atom
* space-group type: R3 (146)
* crystal system: trigonal

POSCAR file:
```
LiTl2InI6
1.0
8.302 0.001 -0.001
4.151 7.189 -0.001
4.150 2.395 7.427
Li Tl In I
1 2 1 6
direct
0.736 0.736 0.793 Li
0.536 0.536 0.393 Tl
0.030 0.030 0.911 Tl
0.328 0.328 0.015 In
0.581 0.199 0.220 I
0.199 0.999 0.220 I
0.999 0.582 0.220 I
0.475 0.669 0.748 I
0.669 0.109 0.748 I
0.109 0.475 0.747 I
```